A relaxed RbRh3O crystal, computed with PBE.

**Relative energy among the computed polymorphs**: 2.143 eV per atom
**ρ**: 5.5 g/cm³
**Symmetry**: Pm-3m
**E_form (uncorrected)**: 2.79 eV per atom

Lattice parameters (Å, degrees): 4.9725 4.9725 4.9725 90.00 90.00 90.00
With the nearest neighbours (Å) after each atom.
Element x y z (fractional)
Rb (0.0000, 0.0000, 0.0000)  6 Rh 2.49
Rh (0.0000, 0.0000, 0.5000)  2 Rb 2.49
Rh (0.0000, 0.5000, 0.0000)  2 Rb 2.49
Rh (0.5000, 0.0000, 0.0000)  2 Rb 2.49
O (0.5000, 0.5000, 0.5000)  12 Rh 3.52

=====

A relaxed RbRh3O crystal, computed with PBE.

**Relative energy among the computed polymorphs**: 0.000 eV per atom
**ρ**: 8.2 g/cm³
**Symmetry**: Pm-3m
**E_form (uncorrected)**: 0.64 eV per atom

Lattice parameters (Å, degrees): 4.3675 4.3675 4.3675 90.00 90.00 90.00
With the nearest neighbours (Å) after each atom.
Element x y z (fractional)
Rb (0.0000, 0.0000, 0.0000)  12 Rh 3.09
Rh (0.0000, 0.5000, 0.5000)  2 O 2.18
Rh (0.5000, 0.0000, 0.5000)  2 O 2.18
Rh (0.5000, 0.5000, 0.0000)  2 O 2.18
O (0.5000, 0.5000, 0.5000)  6 Rh 2.18

=====

A relaxed RbRhO2 crystal, computed with PBE.

**ρ**: 4.9 g/cm³
**Symmetry**: R3m
**E_form (uncorrected)**: -0.44 eV per atom

Lattice parameters (Å, degrees): 7.1743 7.1743 7.1743 28.73 28.73 28.73
With the nearest neighbours (Å) after each atom.
Element x y z (fractional)
Rb (0.0000, 0.0000, 0.0000)  3 O 2.58
Rh (0.5011, 0.5011, 0.5011)  1 O 1.86
O (0.1435, 0.1435, 0.1435)  3 Rh 2.12
O (0.5912, 0.5912, 0.5912)  1 Rh 1.86